Compound: Ba2MgIn6Ga
Source: the Alexandria database
Functional: GGA-PBE
Structure: optimized geometry

extended XYZ file:
```
10
Lattice="6.228 0.000 0.000 3.107 6.991 0.000 3.106 0.441 7.200" Properties=species:S:1:pos:R:3 pbc="T T T"
Ba 1.555 1.727 1.712
Ba 10.886 5.705 5.488
Mg 4.667 3.495 0.000
In 3.137 1.949 5.525
In 4.670 3.081 2.981
In 6.184 1.944 5.532
In 6.256 5.488 1.668
In 7.771 4.352 4.219
In 9.303 5.483 1.675
Ga 4.667 0.221 3.600
```

**Space-group type**: P-1, No. 2
**Volume**: 313.49 Å³ per cell
**Magnetic moment**: 0.00 μB per formula unit
**Energy of formation from the pure elements**: -0.235 eV/atom

Compound: In2HS
Source: the Alexandria database
Functional: GGA-PBE
Structure: optimized geometry

extended XYZ file:
```
8
Lattice="-2.974 2.974 5.125 2.974 -2.974 5.125 2.974 2.974 -5.125" Properties=species:S:1:pos:R:3 pbc="T T T"
In 4.460 1.105 -1.281
In 1.105 1.487 1.281
In -1.487 1.869 3.844
In 1.869 1.487 6.407
H 0.000 0.000 0.000
H 0.000 2.974 2.563
S 2.974 0.000 2.563
S 0.000 0.000 5.125
```

**ΔE to the lowest computed polymorph**: 0.0 meV/atom
**Space-group type**: I-42d, No. 122
**Volume**: 181.27 Å³ per cell
**Magnetic moment**: 0.00 μB per formula unit

Compound: Ca2TcW
Source: the Alexandria database
Functional: GGA-PBE
Structure: optimized geometry

extended XYZ file:
```
4
Lattice="2.807 0.000 0.000 0.000 2.807 0.000 0.000 0.000 10.179" Properties=species:S:1:pos:R:3 pbc="T T T"
Ca 0.000 0.000 2.495
Ca 0.000 0.000 7.684
Tc 1.404 1.404 0.000
W 1.404 1.404 5.090
```

**ΔE to the lowest computed polymorph**: 540.2 meV/atom
**Space-group type**: P4/mmm, No. 123
**Volume**: 80.22 Å³ per cell
**Magnetic moment**: 0.00 μB per formula unit
**Energy of formation from the pure elements**: 0.856 eV/atom